NdYSc2In4: relaxed, PBE.

abc: 5.2262 5.2262 9.0737
angles: 73.26 73.26 60.00
Positions (direct):
1 In 0.1264 0.1264 0.6208
2 Nd 0.0000 0.0000 0.0000
3 Y 0.5000 0.5000 0.5000
4 In 0.6235 0.6235 0.1295
5 In 0.8736 0.8736 0.3792
6 Sc 0.7502 0.7502 0.7493
7 In 0.3765 0.3765 0.8705
8 Sc 0.2498 0.2498 0.2507

Results
Its formation energy is -0.435 eV per atom. As for the space group: R-3m, No. 166. As for the spin magnetization: 0.00 μB/cell.

Pd3Rh4PbO12: relaxed, PBE.

abc: 6.6420 6.6420 6.6420
angles: 109.47 109.47 109.47
Positions (direct):
1 O 0.3034 0.1741 0.4775
2 O 0.6966 0.8259 0.5225
3 Rh 0.5000 0.0000 0.0000
4 O 0.8259 0.1293 0.3034
5 O 0.1741 0.4775 0.3034
6 O 0.1293 0.3034 0.8259
7 Rh 0.5000 0.5000 0.5000
8 O 0.4775 0.3034 0.1741
9 Rh 0.0000 0.5000 0.0000
10 Pd 0.0000 0.5000 0.5000
11 O 0.6966 0.1741 0.8707
12 Pb 0.0000 0.0000 0.0000
13 O 0.8707 0.6966 0.1741
14 O 0.5225 0.6966 0.8259
15 Pd 0.5000 0.0000 0.5000
16 Rh 0.0000 0.0000 0.5000
17 O 0.8259 0.5225 0.6966
18 O 0.1741 0.8707 0.6966
19 O 0.3034 0.8259 0.1293
20 Pd 0.5000 0.5000 0.0000

Results
As for the space group: Im-3, No. 204. As for the spin magnetization: 0.39 μB/cell. Its formation energy (no corrections) is -61 kJ per mole of atoms.

SmPaCu10: relaxed, PBE.

abc: 4.1051 5.0785 8.7227
angles: 90.00 90.00 90.00
Site moments in Bohr magnetons follow the coordinates.
Positions (direct):
1 Cu 0.5000 0.7455 0.7443  0.01
2 Cu 0.5000 0.0000 0.5000  0.01
3 Cu 0.0000 0.0000 0.3353  0.01
4 Sm 0.0000 0.0000 0.0000  0.01
5 Cu 0.5000 0.7455 0.2557  0.01
6 Cu 0.0000 0.5000 0.8312  0.00
7 Cu 0.5000 0.5000 0.0000  0.01
8 Pa 0.0000 0.5000 0.5000  0.35
9 Cu 0.0000 0.5000 0.1688  0.00
10 Cu 0.5000 0.2545 0.7443  0.01
11 Cu 0.5000 0.2545 0.2557  0.01
12 Cu 0.0000 0.0000 0.6647  0.01

Results
Its formation energy is -0.080 eV per atom. As for the space group: Pmmm, No. 47. As for the spin magnetization: 0.54 μB/cell.

CaPmAgSb: relaxed, PBE.

abc: 5.3450 5.3450 5.3450
angles: 60.00 60.00 60.00
Positions (direct):
1 Ca 0.5000 0.5000 0.5000
2 Ag 0.2500 0.2500 0.2500
3 Sb 0.7500 0.7500 0.7500
4 Pm 0.0000 0.0000 0.0000

Results
As for the space group: F-43m, No. 216. As for the spin magnetization: 0.00 μB/cell. Its formation energy (no corrections) is -58 kJ per mole of atoms.

Bi: relaxed, PBE.

abc: 4.7411 4.7411 3.3657
angles: 71.26 71.26 84.02
Positions (direct):
1 Bi 0.7499 0.7499 0.1247
2 Bi 0.2501 0.2501 0.8753

Results
Its formation energy is 0.039 eV per atom. As for the energy above the most stable polymorph in this dataset: 39 meV per atom. As for the space group: C2/m, No. 12. As for the spin magnetization: 0.00 μB/cell.

Nd2Ho3Er6Pb: relaxed, PBE.

abc: 6.0724 6.0724 11.6996
angles: 94.98 94.98 120.02
Positions (direct):
1 Ho 0.5000 0.5000 0.5000
2 Er 0.5893 0.9169 0.7486
3 Ho 0.8327 0.1673 0.5000
4 Pb 0.0000 0.0000 0.0000
5 Nd 0.3338 0.6662 0.0000
6 Er 0.7561 0.7561 0.2524
7 Er 0.2439 0.2439 0.7476
8 Ho 0.1673 0.8327 0.5000
9 Nd 0.6662 0.3338 0.0000
10 Er 0.9169 0.5893 0.7486
11 Er 0.4107 0.0831 0.2514
12 Er 0.0831 0.4107 0.2514

Results
Its formation energy is -0.065 eV per atom. As for the space group: C2/m, No. 12. As for the spin magnetization: 0.00 μB/cell.

Gd2BiTe: relaxed, PBE.

abc: 5.4641 5.4641 5.4641
angles: 60.00 60.00 60.00
Site moments in Bohr magnetons follow the coordinates.
Positions (direct):
1 Te 0.5000 0.5000 0.5000  -0.03
2 Gd 0.7500 0.7500 0.7500  7.26
3 Gd 0.2500 0.2500 0.2500  7.26
4 Bi 0.0000 0.0000 0.0000  -0.04

Results
As for the energy above the most stable polymorph in this dataset: 199 meV per atom. As for the space group: Fm-3m, No. 225. As for the spin magnetization: 15.17 μB/cell. Its formation energy (no corrections) is -94 kJ per mole of atoms.

Sr2YAu2: relaxed, PBE.

abc: 8.0672 8.0672 4.6575
angles: 90.00 90.00 90.00
Positions (direct):
1 Au 0.3606 0.8606 0.0000
2 Sr 0.6643 0.8357 0.5000
3 Au 0.1394 0.3606 0.0000
4 Au 0.6394 0.1394 0.0000
5 Sr 0.1643 0.6643 0.5000
6 Sr 0.3357 0.1643 0.5000
7 Y 0.5000 0.5000 0.0000
8 Sr 0.8357 0.3357 0.5000
9 Au 0.8606 0.6394 0.0000
10 Y 0.0000 0.0000 0.0000

Results
Its formation energy is -0.614 eV per atom. As for the energy above the most stable polymorph in this dataset: 0 meV per atom. As for the space group: P4/mbm, No. 127. As for the spin magnetization: 0.00 μB/cell.

NaLi2IrF6: relaxed, PBE.

abc: 5.3229 5.3227 5.7829
angles: 62.59 62.59 60.00
Site moments in Bohr magnetons follow the coordinates.
Positions (direct):
1 F 0.2474 0.9236 0.2482  0.01
2 F 0.1183 0.3807 0.7776  0.01
3 F 0.5809 0.2473 0.2482  0.01
4 F 0.7234 0.1184 0.7775  0.01
5 Li 0.0158 0.0160 0.9522  0.00
6 F 0.3807 0.7235 0.7777  0.01
7 Ir 0.3245 0.3245 0.0264  0.16
8 Li 0.5347 0.5346 0.3960  0.00
9 Na 0.8123 0.8122 0.5631  0.00
10 F 0.9236 0.5809 0.2482  0.01

Results
As for the energy above the most stable polymorph in this dataset: 0 meV per atom. As for the space group: R3, No. 146. As for the spin magnetization: 0.19 μB/cell. Its formation energy (no corrections) is -219 kJ per mole of atoms.

LaErTlGe: relaxed, PBE.

abc: 5.3360 5.3360 5.3360
angles: 60.00 60.00 60.00
Positions (direct):
1 Ge 0.0000 0.0000 0.0000
2 Er 0.7500 0.7500 0.7500
3 La 0.2500 0.2500 0.2500
4 Tl 0.5000 0.5000 0.5000

Results
Its formation energy is -0.454 eV per atom. As for the space group: F-43m, No. 216. As for the spin magnetization: 0.00 μB/cell.

Tl2PbBr: relaxed, PBE.

abc: 7.9821 5.8963 3.7846
angles: 89.75 61.68 121.35
Positions (direct):
1 Tl 0.5000 0.0000 0.5000
2 Tl 0.0000 0.0000 0.0000
3 Pb 0.5000 0.5000 0.0000
4 Br 0.0000 0.5000 0.5000

Results
As for the energy above the most stable polymorph in this dataset: 7 meV per atom. As for the space group: P-1, No. 2. As for the spin magnetization: 0.00 μB/cell. Its formation energy (no corrections) is -26 kJ per mole of atoms.

U3TlS8: relaxed, PBE.

abc: 7.9674 7.9674 8.8610
angles: 63.28 63.28 60.00
Site moments in Bohr magnetons follow the coordinates.
Positions (direct):
1 Tl 0.5000 0.5000 0.5000  0.00
2 S 0.7278 0.7278 0.8166  -0.05
3 S 0.3014 0.7598 0.1789  -0.06
4 S 0.2402 0.2402 0.8211  -0.06
5 S 0.6986 0.2402 0.8211  -0.06
6 U 0.0000 0.5000 0.0000  1.16
7 U 0.5000 0.0000 0.0000  1.16
8 S 0.7598 0.3014 0.1789  -0.06
9 S 0.2722 0.2722 0.1834  -0.05
10 U 0.5000 0.5000 0.0000  1.16
11 S 0.7598 0.7598 0.1789  -0.06
12 S 0.2402 0.6986 0.8211  -0.06

Results
As for the space group: R-3m, No. 166. As for the spin magnetization: 3.00 μB/cell. Its formation energy (no corrections) is -107 kJ per mole of atoms.

Number 1: volume 25.302 Å³/atom. Number 2: volume 11.278 Å³/atom. Number 3: volume 15.154 Å³/atom. Number 4: volume 26.994 Å³/atom. Number 5: volume 33.922 Å³/atom. Number 6: volume 30.654 Å³/atom. Number 7: volume 28.839 Å³/atom. Number 8: volume 30.311 Å³/atom. Number 9: volume 12.018 Å³/atom. Number 10: volume 26.858 Å³/atom. Number 11: volume 31.555 Å³/atom. Number 12: volume 34.696 Å³/atom.